# LiNdBO4

A geometry-optimized LiNdBO4 structure (GGA-PBE, Alexandria).

The energy relative to the elements, uncorrected comes out at -16.837 eV per formula unit. For the total energy, the calculation gives -7.147 eV/atom. The value obtained for the magnetization is 0.149 μB/atom.

The structure belongs to space group P2_1 (No. 4); the cell edges are 4.9655, 6.7289 and 5.0718 Å and the angles 90.00°, 107.67° and 90.00°. The asymmetric unit holds Li at (0.0272, 0.0000, 0.0565), Nd at (0.3363, 0.2329, 0.6113), B at (0.3237, 0.7053, 0.7947), O at (0.1358, 0.5535, 0.6223), O at (0.2290, 0.7510, 0.0327), O at (0.3691, 0.8789, 0.6312) and O at (0.3697, 0.1477, 0.1197).